[1]
## Tm3TlCo (PBE-GGA)

Data for a relaxed structure of Tm3TlCo.

Structure (POSCAR):
```
Tm3TlCo
1.0
5.2751 0.0000 0.0000
-2.6376 5.8612 -0.6050
0.0000 -2.6910 8.4776
Tm Co Tl
6 2 2
Direct
0.8958 0.7917 0.7862
0.3836 0.7671 0.0894
0.6164 0.2329 0.9106
0.8430 0.6861 0.3316
0.1042 0.2083 0.2138
0.1570 0.3139 0.6684
0.1409 0.2819 0.9462
0.8591 0.7181 0.0538
0.6146 0.2293 0.4506
0.3854 0.7707 0.5494
```

Values from the calculation:
* calculated formation energy: -1.1 eV/f.u.
* E above lowest polymorph: 0.20 eV/f.u.
* raw total energy: -47.98 eV per cell
* calculated volume: 253.5 Å³/cell
* DOS at the Fermi energy: 0.758 states/eV per atom
* size of the total moment: 0.0 μB/f.u.



[2]
## Tm7TlCo5 (PBE-GGA)

Data for a relaxed structure of Tm7TlCo5.

Structure (POSCAR):
```
Tm7TlCo5
1.0
5.5369 0.0000 0.0000
2.7684 7.0096 -0.1771
2.7684 -0.1997 7.0089
Tl Tm Co
1 7 5
Direct
0.9254 0.0746 0.0746
0.6045 0.3955 0.3955
0.9813 0.7038 0.3336
0.2500 0.7500 0.7500
0.2813 0.2187 0.2187
0.5774 0.0829 0.7623
0.9813 0.3336 0.7038
0.5774 0.7623 0.0829
0.0446 0.0112 0.4736
0.4707 0.4736 0.0112
0.0446 0.4736 0.0112
0.4707 0.0112 0.4736
0.7911 0.7089 0.7089
```

Values from the calculation:
* calculated formation energy: -1.2 eV/f.u.
* raw total energy: -70.36 eV per cell
* calculated volume: 271.8 Å³/cell
* DOS at the Fermi energy: 0.825 states/eV per atom
* size of the total moment: 1.5 μB/f.u.



[3]
## Tm4Tl3Co (PBE-GGA)

Data for a relaxed structure of Tm4Tl3Co.

Structure (POSCAR):
```
Tm4Tl3Co
1.0
-1.5842 -1.6906 -2.6340
0.8270 -3.0733 1.4752
-13.5969 0.2039 8.0469
Tm Tl Co
4 3 1
Direct
0.0000 0.0000 0.6339
0.0000 0.0000 0.9007
0.0000 0.0000 0.3661
0.0000 0.0000 0.0993
0.5000 0.5000 0.5000
0.5000 0.5000 0.7651
0.5000 0.5000 0.2349
0.5000 0.5000 0.0000
```

Values from the calculation:
* calculated formation energy: -2.3 eV/f.u.
* raw total energy: -34.35 eV per cell
* calculated volume: 194.4 Å³/cell
* DOS at the Fermi energy: 0.662 states/eV per atom
* size of the total moment: 1.1 μB/f.u.



[4]
## Tm3TlCo (PBE-GGA)

Data for a relaxed structure of Tm3TlCo.

Structure (POSCAR):
```
Tm3TlCo
1.0
-3.4333 1.0220 -0.9559
-3.0065 -6.6329 -3.4832
-4.9121 -3.7150 6.4804
Tm Co Tl
6 2 2
Direct
0.8307 0.0620 0.2766
0.4174 0.2166 0.9485
0.1693 0.9380 0.7234
0.5826 0.7834 0.0515
0.8593 0.5600 0.7214
0.1407 0.4400 0.2786
0.2356 0.5838 0.9450
0.7644 0.4162 0.0550
0.5821 0.2632 0.5725
0.4179 0.7368 0.4275
```

Values from the calculation:
* calculated formation energy: -1.3 eV/f.u.
* E above lowest polymorph: 0.00 eV/f.u.
* raw total energy: -48.38 eV per cell
* calculated volume: 249.9 Å³/cell
* DOS at the Fermi energy: 0.844 states/eV per atom
* size of the total moment: 0.0 μB/f.u.



[5]
## Tm2TlCo (PBE-GGA)

Data for a relaxed structure of Tm2TlCo.

Structure (POSCAR):
```
Tm2TlCo
1.0
3.6351 0.0000 0.0000
0.0000 4.9767 0.0000
0.0000 0.0000 4.9767
Co Tm Tl
1 2 1
Direct
0.5000 0.5000 0.5000
0.0000 0.0000 0.5000
0.0000 0.5000 0.0000
0.5000 0.0000 0.0000
```

Values from the calculation:
* calculated formation energy: -0.5 eV/f.u.
* raw total energy: -18.93 eV per cell
* calculated volume: 90.0 Å³/cell
* DOS at the Fermi energy: 0.580 states/eV per atom
* size of the total moment: 0.8 μB/f.u.



[6]
## Tm8TlCo2 (PBE-GGA)

Data for a relaxed structure of Tm8TlCo2.

Structure (POSCAR):
```
Tm8TlCo2
1.0
5.2440 -0.0448 -0.0672
-0.9288 7.7008 -0.1217
-0.9288 -3.0782 7.0599
Tm Tl Co
8 1 2
Direct
0.0751 0.3326 0.0674
0.9249 0.9326 0.6674
0.7000 0.3879 0.3879
0.0751 0.0674 0.3326
0.9249 0.6674 0.9326
0.3000 0.6121 0.6121
0.5000 0.7498 0.2502
0.5000 0.2502 0.7498
0.5000 0.0000 0.0000
0.0000 0.6908 0.3092
0.0000 0.3092 0.6908
```

Values from the calculation:
* calculated formation energy: -1.5 eV/f.u.
* raw total energy: -53.82 eV per cell
* calculated volume: 282.2 Å³/cell
* DOS at the Fermi energy: 1.062 states/eV per atom
* size of the total moment: 0.0 μB/f.u.



[7]
## Tm8Tl2Co (PBE-GGA)

Data for a relaxed structure of Tm8Tl2Co.

Structure (POSCAR):
```
Tm8Tl2Co
1.0
-4.0873 -2.5889 2.1442
2.8731 -5.8469 -1.5828
4.5344 4.0429 6.9942
Co Tm Tl
1 8 2
Direct
0.5000 0.0000 0.0000
0.0158 0.7838 0.0317
0.7995 0.7178 0.5989
0.4110 0.5860 0.8219
0.9842 0.2162 0.9683
0.3607 0.0562 0.7214
0.6393 0.9438 0.2786
0.5890 0.4140 0.1781
0.2005 0.2822 0.4011
0.1802 0.7163 0.3604
0.8198 0.2837 0.6396
```

Values from the calculation:
* calculated formation energy: -1.6 eV/f.u.
* raw total energy: -49.22 eV per cell
* calculated volume: 293.3 Å³/cell
* DOS at the Fermi energy: 1.008 states/eV per atom
* size of the total moment: 0.0 μB/f.u.



[8]
## Tm4TlCo2 (PBE-GGA)

Data for a relaxed structure of Tm4TlCo2.

Structure (POSCAR):
```
Tm4TlCo2
1.0
-1.3675 -2.3063 -3.5856
2.5958 -3.2202 -1.7141
-3.8101 -8.3171 4.0076
Co Tm Tl
2 4 1
Direct
0.0973 0.0973 0.7081
0.9027 0.9027 0.2919
0.7996 0.7996 0.6012
0.6058 0.6058 0.1825
0.2004 0.2004 0.3988
0.3942 0.3942 0.8175
0.0000 0.0000 0.0000
```

Values from the calculation:
* calculated formation energy: -0.7 eV/f.u.
* raw total energy: -35.19 eV per cell
* calculated volume: 167.5 Å³/cell
* DOS at the Fermi energy: 0.811 states/eV per atom
* size of the total moment: 0.0 μB/f.u.



[9]
## Tm6TlCo (PBE-GGA)

Data for a relaxed structure of Tm6TlCo.

Structure (POSCAR):
```
Tm6TlCo
1.0
-1.3554 -5.4412 -2.8446
6.0063 -0.7500 1.7021
-2.6993 -1.0310 5.4344
Tl Tm Co
1 6 1
Direct
0.0000 0.0000 0.0000
0.2041 0.5749 0.2141
0.7959 0.4251 0.7859
0.5749 0.2041 0.2141
0.4251 0.7959 0.7859
0.7800 0.7800 0.3703
0.2200 0.2200 0.6297
0.5000 0.5000 0.5000
```

Values from the calculation:
* calculated formation energy: 0.0 eV/f.u.
* raw total energy: -36.33 eV per cell
* calculated volume: 229.1 Å³/cell
* DOS at the Fermi energy: 1.411 states/eV per atom
* size of the total moment: 0.0 μB/f.u.



[10]
## Tm2TlCo (PBE-GGA)

Data for a relaxed structure of Tm2TlCo.

Structure (POSCAR):
```
Tm2TlCo
1.0
3.6603 0.0000 0.0000
1.8301 3.1699 0.0000
1.8301 1.0566 8.3966
Tm Tl Co
2 1 1
Direct
0.2708 0.2708 0.1876
0.7292 0.7292 0.8124
0.5000 0.5000 0.5000
0.0000 0.0000 0.0000
```

Values from the calculation:
* calculated formation energy: -0.7 eV/f.u.
* raw total energy: -19.14 eV per cell
* calculated volume: 97.4 Å³/cell
* DOS at the Fermi energy: 0.577 states/eV per atom
* size of the total moment: 0.0 μB/f.u.



[11]
## TmTlCo4 (PBE-GGA)

Data for a relaxed structure of TmTlCo4.

Structure (POSCAR):
```
TmTlCo4
1.0
-4.1235 -0.7688 -2.7024
0.2948 -0.2950 -4.9723
-0.7046 -4.3792 -2.2855
Co Tl Tm
4 1 1
Direct
0.6250 0.6250 0.6250
0.1251 0.6250 0.6250
0.6250 0.6250 0.1251
0.6250 0.1251 0.6250
0.2500 0.2500 0.2500
0.0000 0.0000 0.0000
```

Values from the calculation:
* calculated formation energy: -0.2 eV/f.u.
* raw total energy: -35.47 eV per cell
* calculated volume: 87.8 Å³/cell
* DOS at the Fermi energy: 1.423 states/eV per atom
* size of the total moment: 4.5 μB/f.u.



[12]
## Tm3TlCo (PBE-GGA)

Data for a relaxed structure of Tm3TlCo.

Structure (POSCAR):
```
Tm3TlCo
1.0
-0.6536 -4.1152 -2.9260
1.0335 -2.9969 3.9841
-4.9425 -0.0825 1.2200
Co Tm Tl
1 3 1
Direct
0.0000 0.0000 0.0000
0.0000 0.5000 0.0000
0.0000 0.0000 0.5000
0.5000 0.0000 0.0000
0.5000 0.5000 0.5000
```

Values from the calculation:
* calculated formation energy: -0.8 eV/f.u.
* E above lowest polymorph: 0.55 eV/f.u.
* raw total energy: -23.64 eV per cell
* calculated volume: 132.0 Å³/cell
* DOS at the Fermi energy: 1.163 states/eV per atom
* size of the total moment: 0.0 μB/f.u.



- DOS at the Fermi energy of number 6 (Tm8TlCo2)?
  1.062 states/eV per atom



- Among the records above, which one has the highest calculated volume?
  Tm8Tl2Co